! NpTlTe3Au, optimized geometry, DFT GGA-PBE; values from VASP
&SYSTEM
  ibrav = 0, nat = 12, ntyp = 4
/
ATOMIC_SPECIES
Te 127.60 Te.upf
Np 237.00 Np.upf
Au 196.97 Au.upf
Tl 204.38 Tl.upf
CELL_PARAMETERS angstrom
-2.454 1.820 -3.106
-5.176 -7.967 -0.581
-4.205 6.165 6.935
ATOMIC_POSITIONS angstrom
Te -6.549 -2.675 2.078
Te -7.016 -4.976 -1.957
Te -5.285 2.693 1.170
Te -4.819 4.993 5.205
Te -4.844 -1.269 -1.501
Te -6.991 1.287 4.749
Np -4.836 -3.984 -0.043
Np -6.999 4.002 3.291
Au -8.270 -3.368 -0.025
Au -3.565 3.386 3.273
Tl -9.197 -0.282 2.516
Tl -2.638 0.300 0.732
! E = -5.09 eV/atom
! SG = P2_1/m (11)
! Density = 8.484 Mg/m³
! Raw formation energy = -41 kJ per mole of atoms

! ZnSe2Cl, optimized geometry, DFT GGA-PBE; values from VASP
&SYSTEM
  ibrav = 0, nat = 4, ntyp = 3
/
ATOMIC_SPECIES
Se 78.96 Se.upf
Cl 35.45 Cl.upf
Zn 65.41 Zn.upf
CELL_PARAMETERS angstrom
7.491 0.028 0.000
5.612 4.961 0.000
-6.552 -2.495 2.640
ATOMIC_POSITIONS angstrom
Se 0.000 0.000 0.000
Se 6.552 2.495 0.000
Cl 3.745 0.014 1.320
Zn 2.806 2.481 1.320
! E = -2.57 eV/atom
! SG = I4/mmm (139)
! Density = 4.398 Mg/m³
! Raw formation energy = -5 kJ per mole of atoms
! E above lowest polymorph = 330 meV/atom

! Dy2ThSi, optimized geometry, DFT GGA-PBE; values from VASP
&SYSTEM
  ibrav = 0, nat = 4, ntyp = 3
/
ATOMIC_SPECIES
Dy 162.50 Dy.upf
Si 28.09 Si.upf
Th 232.04 Th.upf
CELL_PARAMETERS angstrom
-2.743 2.030 0.781
-2.695 -1.317 1.804
2.990 3.149 10.161
ATOMIC_POSITIONS angstrom
Dy -3.922 1.633 5.520
Dy 1.474 2.230 7.226
Si -1.224 1.932 6.373
Th 0.000 0.000 0.000
! E = -5.48 eV/atom
! SG = R-3m (166)
! Density = 8.427 Mg/m³
! Raw formation energy = 3 kJ per mole of atoms

! InAg3Pd4, optimized geometry, DFT GGA-PBE; values from VASP
&SYSTEM
  ibrav = 0, nat = 8, ntyp = 3
/
ATOMIC_SPECIES
Ag 107.87 Ag.upf
In 114.82 In.upf
Pd 106.42 Pd.upf
CELL_PARAMETERS angstrom
-1.015 -1.465 -4.259
-3.951 -1.806 1.563
-0.482 7.105 0.173
ATOMIC_POSITIONS angstrom
Ag -1.976 -0.903 0.782
Ag -3.447 1.812 0.199
Ag -2.001 2.021 -2.721
In -0.508 -0.733 -2.130
Pd -3.214 -0.287 -1.637
Pd -2.234 4.121 -0.885
Pd -0.731 1.348 -0.290
Pd -4.717 2.485 -2.233
! E = -4.22 eV/atom
! SG = I4/mmm (139)
! Density = 10.632 Mg/m³
! Energy of formation from the pure elements = -1.72 eV per formula unit

! LaNdTm3, optimized geometry, DFT GGA-PBE; values from VASP
&SYSTEM
  ibrav = 0, nat = 10, ntyp = 3
/
ATOMIC_SPECIES
Nd 144.24 Nd.upf
Tm 168.93 Tm.upf
La 138.91 La.upf
CELL_PARAMETERS angstrom
6.155 -0.570 -0.460
-3.604 5.022 -0.460
0.987 1.722 11.059
ATOMIC_POSITIONS angstrom
Nd 4.836 0.186 -0.460
Nd -2.285 4.266 -0.460
Tm 3.557 2.753 8.412
Tm 0.326 0.568 3.647
Tm -0.020 3.421 1.726
Tm 3.212 5.606 6.492
Tm 0.576 4.461 8.412
Tm 2.961 1.713 1.726
La 0.289 3.934 5.069
La 3.248 2.240 5.069
! E = -4.44 eV/atom
! SG = Cmmm (65)
! Density = 7.965 Mg/m³
! E above lowest polymorph = 0 meV/atom
! Energy of formation from the pure elements = 0.90 eV per formula unit

! Sr2CaMgN, optimized geometry, DFT GGA-PBE; values from VASP
&SYSTEM
  ibrav = 0, nat = 5, ntyp = 4
/
ATOMIC_SPECIES
Sr 87.62 Sr.upf
Ca 40.08 Ca.upf
N 14.01 N.upf
Mg 24.30 Mg.upf
CELL_PARAMETERS angstrom
-3.313 2.434 3.514
-3.915 -3.512 -1.259
1.579 -3.052 3.602
ATOMIC_POSITIONS angstrom
Sr -1.656 1.217 1.757
Sr -1.958 -1.756 -0.629
Ca 0.790 -1.526 1.801
N 0.000 0.000 0.000
Mg -2.824 -2.065 2.929
! E = -3.39 eV/atom
! SG = P4/mmm (123)
! Density = 2.893 Mg/m³
! Raw formation energy = -32 kJ per mole of atoms
! E above lowest polymorph = 0 meV/atom

! K3RbHg2, optimized geometry, DFT GGA-PBE; values from VASP
&SYSTEM
  ibrav = 0, nat = 12, ntyp = 3
/
ATOMIC_SPECIES
K 39.10 K.upf
Hg 200.59 Hg.upf
Rb 85.47 Rb.upf
CELL_PARAMETERS angstrom
6.163 0.000 0.000
-3.081 5.337 0.000
0.000 0.000 17.883
ATOMIC_POSITIONS angstrom
K 0.000 0.000 8.942
K 0.000 3.558 7.043
K 0.000 3.558 1.898
K 0.000 0.000 0.000
K 3.081 1.779 10.840
K 3.081 1.779 15.985
Hg 0.000 3.558 16.008
Hg 0.000 3.558 10.817
Hg 3.081 1.779 7.066
Hg 3.081 1.779 1.876
Rb 0.000 0.000 13.412
Rb 0.000 0.000 4.471
! E = -0.94 eV/atom
! SG = P6_3/mmc (194)
! Density = 3.410 Mg/m³
! E above lowest polymorph = 44 meV/atom
! Energy of formation from the pure elements = -0.76 eV per formula unit

! Ca2TlInPt, optimized geometry, DFT GGA-PBE; values from VASP
&SYSTEM
  ibrav = 0, nat = 5, ntyp = 4
/
ATOMIC_SPECIES
Ca 40.08 Ca.upf
In 114.82 In.upf
Tl 204.38 Tl.upf
Pt 195.08 Pt.upf
CELL_PARAMETERS angstrom
5.533 0.000 0.000
0.000 5.533 0.000
0.000 0.000 5.170
ATOMIC_POSITIONS angstrom
Ca 2.766 0.000 0.000
Ca 0.000 2.766 0.000
In 0.000 0.000 2.585
Tl 2.766 2.766 2.585
Pt 0.000 0.000 0.000
! E = -3.52 eV/atom
! SG = P4/mmm (123)
! Density = 6.236 Mg/m³
! Energy of formation from the pure elements = -2.44 eV per formula unit

! Cd2HgI2, optimized geometry, DFT GGA-PBE; values from VASP
&SYSTEM
  ibrav = 0, nat = 5, ntyp = 3
/
ATOMIC_SPECIES
I 126.90 I.upf
Cd 112.41 Cd.upf
Hg 200.59 Hg.upf
CELL_PARAMETERS angstrom
-0.424 1.108 -5.529
-0.696 -5.512 -1.052
-6.150 -1.601 -2.741
ATOMIC_POSITIONS angstrom
I -3.567 -1.347 -5.780
I -3.703 -4.657 -3.541
Cd -5.364 -3.947 -6.163
Cd -1.906 -2.057 -3.158
Hg 0.000 0.000 0.000
! E = -1.30 eV/atom
! SG = I4/mmm (139)
! Density = 6.245 Mg/m³
! Raw formation energy = -25 kJ per mole of atoms
! E above lowest polymorph = 13 meV/atom

! Sc4Ga2OsPd, optimized geometry, DFT GGA-PBE; values from VASP
&SYSTEM
  ibrav = 0, nat = 8, ntyp = 4
/
ATOMIC_SPECIES
Sc 44.96 Sc.upf
Ga 69.72 Ga.upf
Pd 106.42 Pd.upf
Os 190.23 Os.upf
CELL_PARAMETERS angstrom
-3.496 -3.087 0.374
-0.311 -3.559 -3.021
3.021 -6.514 3.741
ATOMIC_POSITIONS angstrom
Sc -1.974 -4.996 -1.156
Sc 1.390 -4.880 1.983
Sc 1.187 -8.164 2.250
Sc -2.176 -8.280 -0.889
Ga -0.594 -9.866 0.816
Ga -0.193 -3.294 0.278
Pd 0.000 0.000 0.000
Os -0.393 -6.580 0.547
! E = -6.64 eV/atom
! SG = R-3m (166)
! Density = 7.069 Mg/m³
! Energy of formation from the pure elements = -5.30 eV per formula unit

! TmCdGePd, optimized geometry, DFT GGA-PBE; values from VASP
&SYSTEM
  ibrav = 0, nat = 4, ntyp = 4
/
ATOMIC_SPECIES
Ge 72.64 Ge.upf
Tm 168.93 Tm.upf
Cd 112.41 Cd.upf
Pd 106.42 Pd.upf
CELL_PARAMETERS angstrom
4.817 0.000 0.000
2.408 4.172 0.000
2.408 1.391 3.933
ATOMIC_POSITIONS angstrom
Ge 0.000 0.000 0.000
Tm 7.225 4.172 2.950
Cd 2.408 1.391 0.983
Pd 4.817 2.781 1.967
! E = -4.31 eV/atom
! SG = F-43m (216)
! Density = 9.673 Mg/m³
! Energy of formation from the pure elements = -2.06 eV per formula unit

! MnSb2Cl, optimized geometry, DFT GGA-PBE; values from VASP
&SYSTEM
  ibrav = 0, nat = 4, ntyp = 3
/
ATOMIC_SPECIES
Mn 54.94 Mn.upf
Sb 121.76 Sb.upf
Cl 35.45 Cl.upf
CELL_PARAMETERS angstrom
4.371 0.000 0.000
0.000 5.748 0.156
0.000 3.675 4.418
ATOMIC_POSITIONS angstrom
Mn 2.186 7.068 3.431
Sb 0.000 5.485 2.663
Sb 0.000 8.650 4.198
Cl 2.186 2.356 1.144
! E = -5.02 eV/atom
! SG = Cmmm (65)
! Density = 5.110 Mg/m³
! Raw formation energy = -19 kJ per mole of atoms
! E above lowest polymorph = 0 meV/atom

For each record above, in turn, the calculated total magnetization values are 3.135 0.000 0.000 0.000 0.000 0.000 0.000 0.000 0.000 0.000 0.000 3.878 μB per formula unit.